An optimized crystal structure of Sc3TaZn. Source: the Alexandria database, functional GGA-PBEsol.

Lattice parameters (Å, degrees): 5.034 5.034 5.034 90.00 90.00 90.00
Atoms (fractional coordinates):
Ta 0.000 0.000 0.000
Sc 0.000 0.500 0.000
Sc 0.500 0.000 0.000
Sc 0.000 0.000 0.500
Zn 0.500 0.500 0.500

Computed properties:
**Uncorrected energy**: -5.9759 eV/atom
**DOS at the Fermi energy**: 1.03 states/eV/atom
**Energy of formation from the pure elements**: 0.81 eV/atom